No. 1
Below is a relaxed Ca2Ac2Pd2Rh crystal, with properties calculated at the PBE-GGA level.

Properties
Magnetic moment ... 0.0000 μB/atom
Formation energy from the elements ... -0.609 eV per atom

Lattice parameters (Å, degrees): 14.637 4.073 8.082 90.00 119.11 90.00
Fractional coordinates of all 14 atoms:
Ca: 0.215 0.000 0.289
Ca: 0.285 0.500 0.711
Ca: 0.715 0.500 0.289
Ca: 0.785 0.000 0.711
Ac: 0.038 0.500 0.777
Ac: 0.462 0.000 0.223
Ac: 0.538 0.000 0.777
Ac: 0.962 0.500 0.223
Pd: 0.110 0.000 0.545
Pd: 0.390 0.500 0.455
Pd: 0.610 0.500 0.545
Pd: 0.890 0.000 0.455
Rh: 0.000 0.000 0.000
Rh: 0.500 0.500 0.000


No. 2
Below is a relaxed SrHgO2 crystal, with properties calculated at the PBE-GGA level.

Properties
ΔE_f (raw) ... -0.55 eV/atom
Magnetic moment ... 0.0600 μB/atom

Lattice parameters (Å, degrees): 3.738 3.738 19.979 90.00 90.00 120.00
Fractional coordinates of all 12 atoms:
Sr: 0.000 0.000 0.000
Sr: 0.333 0.667 0.667
Sr: 0.667 0.333 0.333
Hg: 0.000 0.000 0.500
Hg: 0.333 0.667 0.167
Hg: 0.667 0.333 0.833
O: 0.000 0.000 0.112
O: 0.000 0.000 0.888
O: 0.333 0.667 0.555
O: 0.333 0.667 0.779
O: 0.667 0.333 0.221
O: 0.667 0.333 0.445


| no. | E (eV per formula unit) |
| --- | --- |
| 1 | -34.2 |
| 2 | -14.1 |